The following is a PBE calculation of an optimized crystal structure of BaCaSi, from Alexandria via LeMat-Bulk.

Values from the calculation:
Formation energy from raw total energies = -0.1940 eV per atom
Energy relative to the lowest polymorph listed for this composition = 226.3 meV per atom
Magnetic moment = 0.00 μB per cell
Crystal system = trigonal
V = 111.2 Å³/cell

Lattice parameters (Å, degrees): 5.0072 5.0072 5.1207 90.00 90.00 120.00
With the nearest neighbours (Å) after each atom.
Atoms (fractional coordinates):
Ba: 0.0000 0.0000 0.9525  3 Si 3.46, 3 Ca 3.82
Ca: 0.3333 0.6667 0.4652  3 Si 2.95
Si: 0.6667 0.3333 0.5823  3 Ca 2.95



The following is a PBE calculation of an optimized crystal structure of CaTa2Mo, from Alexandria via LeMat-Bulk.

Values from the calculation:
Formation enthalpy at 0 K = 0.478 eV/atom
Magnetic moment = 0.00 μB per cell
Crystal system = monoclinic
V = 85.7 Å³/cell

Lattice parameters (Å, degrees): 4.5553 2.9689 6.4451 79.54 90.00 90.00
With the nearest neighbours (Å) after each atom.
Atoms (fractional coordinates):
Mo: 0.5000 0.7281 0.8113  3 Ta 2.49-2.71
Ca: 0.0000 0.5194 0.5100  2 Ca 2.97, 2 Mo 3.13, 3 Ta 3.25-3.28
Ta: 0.0000 0.9506 0.9963  2 Mo 2.71, 4 Ta 2.86-2.97
Ta: 0.5000 0.3018 0.1824  1 Mo 2.49



The following is a PBE calculation of an optimized crystal structure of Pm3SmHoTm, from Alexandria via LeMat-Bulk.

Values from the calculation:
Formation enthalpy at 0 K = 0.022 eV/atom
Magnetic moment = 0.00 μB per cell
Crystal system = monoclinic
V = 395.6 Å³/cell

Lattice parameters (Å, degrees): 5.1034 8.0329 10.7735 116.41 90.00 90.00
With the nearest neighbours (Å) after each atom.
Atoms (fractional coordinates):
Pm: 0.7500 0.8731 0.0426  1 Tm 3.58, 3 Ho 3.58-3.59, 3 Sm 3.60-3.63, 5 Pm 3.61-3.63
Pm: 0.2500 0.1269 0.9574  1 Tm 3.58, 3 Ho 3.58-3.59, 3 Sm 3.60-3.63, 5 Pm 3.61-3.63
Pm: 0.2500 0.6281 0.4581  3 Tm 3.57-3.58, 1 Ho 3.57, 3 Sm 3.60-3.64, 5 Pm 3.60-3.64
Pm: 0.7500 0.3719 0.5419  3 Tm 3.57-3.58, 1 Ho 3.57, 3 Sm 3.60-3.64, 5 Pm 3.60-3.64
Pm: 0.7500 0.3779 0.2080  3 Ho 3.58, 1 Tm 3.58, 6 Pm 3.60-3.63, 2 Sm 3.64
Pm: 0.2500 0.6221 0.7920  3 Ho 3.58, 1 Tm 3.58, 6 Pm 3.60-3.63, 2 Sm 3.64
Sm: 0.2500 0.1226 0.2927  3 Tm 3.57-3.58, 1 Ho 3.57, 8 Pm 3.60-3.64
Sm: 0.7500 0.8774 0.7073  3 Tm 3.57-3.58, 1 Ho 3.57, 8 Pm 3.60-3.64
Ho: 0.2500 0.6260 0.1256  1 Sm 3.57, 7 Pm 3.57-3.59, 2 Tm 3.60, 2 Ho 3.61
Ho: 0.7500 0.3740 0.8744  1 Sm 3.57, 7 Pm 3.57-3.59, 2 Tm 3.60, 2 Ho 3.61
Tm: 0.2500 0.1241 0.6243  3 Sm 3.57-3.58, 5 Pm 3.57-3.58, 2 Tm 3.59, 2 Ho 3.60
Tm: 0.7500 0.8759 0.3757  3 Sm 3.57-3.58, 5 Pm 3.57-3.58, 2 Tm 3.59, 2 Ho 3.60



The following is a PBE calculation of an optimized crystal structure of SrTiAs2Pd, from Alexandria via LeMat-Bulk.

Values from the calculation:
Formation enthalpy at 0 K = 1.557 eV/atom
Energy relative to the lowest polymorph listed for this composition = 1364.8 meV per atom
Magnetic moment = 0.00 μB per cell
Crystal system = tetragonal
V = 146.9 Å³/cell

Lattice parameters (Å, degrees): 5.4124 5.0149 5.4124 90.00 90.00 90.00
With the nearest neighbours (Å) after each atom.
Atoms (fractional coordinates):
Sr: 0.0000 0.0000 0.0000  2 Ti 2.51, 4 As 2.71
As: 0.0000 0.0000 0.5000  2 Sr 2.71
As: 0.5000 0.0000 0.0000  2 Sr 2.71
Pd: 0.5000 0.5000 0.5000  8 As 3.69, 4 Ti 3.83
Ti: 0.0000 0.5000 0.0000  2 Sr 2.51



The following is a PBE calculation of an optimized crystal structure of Ac2Ce2Ni15, from Alexandria via LeMat-Bulk.

Values from the calculation:
Formation enthalpy at 0 K = -0.205 eV/atom
Magnetic moment = 0.00 μB per cell
Crystal system = trigonal
V = 279.8 Å³/cell

Lattice parameters (Å, degrees): 6.5994 6.5994 6.5994 82.03 82.03 82.03
With the nearest neighbours (Å) after each atom.
Atoms (fractional coordinates):
Ac: 0.3573 0.3573 0.3573  12 Ni 3.03-3.16, 1 Ce 3.23
Ac: 0.6427 0.6427 0.6427  12 Ni 3.03-3.16, 1 Ce 3.23
Ce: 0.1076 0.1076 0.1076  6 Ni 2.61-2.66, 1 Ce 2.78
Ce: 0.8924 0.8924 0.8924  6 Ni 2.61-2.66, 1 Ce 2.78
Ni: 0.5000 0.0000 0.0000  8 Ni 2.51-2.54, 2 Ce 2.61
Ni: 0.0000 0.0000 0.5000  8 Ni 2.51-2.54, 2 Ce 2.61
Ni: 0.0000 0.5000 0.0000  8 Ni 2.51-2.54, 2 Ce 2.61
Ni: 0.0000 0.6947 0.3053  8 Ni 2.54-2.65
Ni: 0.6947 0.3053 0.0000  8 Ni 2.54-2.65
Ni: 0.3053 0.0000 0.6947  8 Ni 2.54-2.65
Ni: 0.3053 0.6947 0.0000  8 Ni 2.54-2.65
Ni: 0.6947 0.0000 0.3053  8 Ni 2.54-2.65
Ni: 0.0000 0.3053 0.6947  8 Ni 2.54-2.65
Ni: 0.1599 0.6578 0.6578  8 Ni 2.50-2.65, 1 Ce 2.66
Ni: 0.6578 0.6578 0.1599  8 Ni 2.50-2.65, 1 Ce 2.66
Ni: 0.6578 0.1599 0.6578  8 Ni 2.50-2.65, 1 Ce 2.66
Ni: 0.8401 0.3422 0.3422  8 Ni 2.50-2.65, 1 Ce 2.66
Ni: 0.3422 0.3422 0.8401  8 Ni 2.50-2.65, 1 Ce 2.66
Ni: 0.3422 0.8401 0.3422  8 Ni 2.50-2.65, 1 Ce 2.66



The following is a PBE calculation of an optimized crystal structure of AlZn7Ag4, from Alexandria via LeMat-Bulk.

Values from the calculation:
Formation enthalpy at 0 K = -0.001 eV/atom
Energy relative to the lowest polymorph listed for this composition = 0.0 meV per atom
Magnetic moment = 0.00 μB per cell
Crystal system = monoclinic
V = 195.7 Å³/cell

Lattice parameters (Å, degrees): 2.9244 8.8032 8.9012 119.56 90.00 99.56
With the nearest neighbours (Å) after each atom.
Atoms (fractional coordinates):
Al: 0.8770 0.7540 0.5145  3 Ag 2.71-2.78, 6 Zn 2.73-2.88, 2 Al 2.92
Zn: 0.6962 0.3923 0.3757  7 Zn 2.62-2.92, 1 Al 2.74, 4 Ag 2.77-2.88
Zn: 0.2980 0.5960 0.6825  3 Ag 2.60-2.70, 3 Zn 2.81-2.82, 2 Al 2.88
Zn: 0.3803 0.7607 0.0476  6 Zn 2.70-2.92, 5 Ag 2.78-2.85
Zn: 0.6102 0.2205 0.0359  7 Zn 2.62-2.92, 5 Ag 2.85-2.93
Zn: 0.0597 0.1194 0.7445  4 Ag 2.57-2.87, 2 Zn 2.71, 1 Al 2.79
Zn: 0.0352 0.0704 0.2051  2 Ag 2.61-2.64, 8 Zn 2.75-2.89
Zn: 0.4695 0.9389 0.3985  5 Zn 2.70-2.92, 2 Al 2.73, 3 Ag 2.77-2.90
Ag: 0.7232 0.4464 0.8782  7 Zn 2.78-3.02, 6 Ag 2.92-3.01
Ag: 0.2769 0.5537 0.2114  2 Al 2.78, 6 Zn 2.82-2.90, 4 Ag 2.92-3.01
Ag: 0.9479 0.8957 0.8630  8 Zn 2.63-2.85, 1 Al 2.71, 2 Ag 2.92
Ag: 0.1260 0.2519 0.5432  7 Zn 2.57-2.77